This record from Alexandria via LeMat-Bulk describes a relaxed structure of PuMnPbO5. The functional is PBE+U.

Summary:
For the density, the calculation gives 7.4 g/cm3. The total energy comes out at -264.88 eV for the cell shown. Its total magnetization is 28.00 μB per cell. As for the volume: 16.54 A^3/atom.

Unit cell a=7.3765 b=9.8761 c=8.1140 alpha=90.00 beta=116.44 gamma=90.00
Last column: nearest neighbours and their distance in Å.
Space group C2/c (No. 15)
Asymmetric unit:
Pu: 0.2500 0.2500 0.0000 (multiplicity 4)  6 O 1.97-2.15
Mn: 0.0000 0.0574 0.2500 (multiplicity 4)  4 O 2.02-2.03
Pb: 0.0000 0.4410 0.2500 (multiplicity 4)  3 O 2.38-2.61
O: 0.0000 0.3176 0.7500 (multiplicity 4)  2 Pu 2.15, 1 Pb 2.38
O: 0.0558 0.1949 0.0931 (multiplicity 8)  1 Pu 1.97, 1 Mn 2.02
O: 0.2441 0.4516 0.0959 (multiplicity 8)  1 Mn 2.03, 1 Pu 2.15